Computed, not measured: a geometry-optimized Cs2AcBr4 structure at the GGA-PBE level of DFT.

Structure (extended XYZ):
```
7
Lattice="6.1588 0.0000 0.0000 0.0000 6.1588 0.0000 3.0794 3.0794 9.2419" Properties=species:S:1:pos:R:3 pbc="T T T"
Cs 6.1588 6.1588 6.6669
Cs 3.0794 3.0794 2.5750
Ac 0.0000 0.0000 0.0000
Br 6.1589 6.1589 3.0483
Br 3.0794 3.0794 6.1935
Br 0.0000 3.0794 0.0000
Br 3.0794 0.0000 0.0000
```

Output
Space group: I4/mmm, No. 139
Uncorrected energy, eV/cell: -24.248
ΔE_f (raw), meV/atom: -1677

Computed, not measured: a geometry-optimized Cs4AcBr7 structure at the GGA-PBE level of DFT.

Structure (extended XYZ):
```
12
Lattice="5.7251 0.0000 -1.8698 -1.3295 7.0175 -4.0709 1.2063 2.9915 13.3935" Properties=species:S:1:pos:R:3 pbc="T T T"
Cs 2.7304 5.7830 8.3604
Cs 2.8715 4.2260 -0.9076
Cs 1.3087 7.4546 4.0072
Cs 4.2932 2.5545 3.4456
Ac 0.0000 0.0000 0.0000
Br 0.5061 2.5703 1.5496
Br 5.0958 7.4387 5.9032
Br 6.1278 4.5056 9.0633
Br -0.5260 5.5034 -1.6105
Br 3.6502 6.5960 1.4770
Br 2.8626 0.0000 -0.9349
Br 1.9516 3.4130 5.9759
```

Output
Space group: C2/m, No. 12
Uncorrected energy, eV/cell: -41.246
ΔE_f (raw), meV/atom: -1834

Computed, not measured: a geometry-optimized CsAc2Br7 structure at the GGA-PBE level of DFT.

Structure (extended XYZ):
```
10
Lattice="6.0614 0.0000 0.0000 0.0000 9.1058 0.0009 0.0000 -4.0162 8.1723" Properties=species:S:1:pos:R:3 pbc="T T T"
Cs 0.0000 0.0000 0.0000
Ac 3.0307 5.1451 2.4674
Ac 3.0307 -0.0555 5.7058
Br 0.0000 5.4119 2.3012
Br 0.0000 -0.3222 5.8720
Br 3.0307 -0.8363 2.6558
Br 3.0307 5.9259 5.5174
Br 3.0307 2.7523 0.4211
Br 3.0307 2.3373 7.7521
Br 3.0307 2.5448 4.0866
```

Output
Space group: Cmmm, No. 65
Uncorrected energy, eV/cell: -40.726
ΔE_f (raw), meV/atom: -1995